Density functional theory data (PBE) for a relaxed CuTeS2Cl crystal.

extended XYZ file:
```
5
Lattice="-3.572 2.229 -2.070 -0.595 -3.643 -2.896 -2.835 -1.845 2.904" Properties=species:S:1:pos:R:3 pbc="T T T"
Cl -1.418 -0.923 1.452
S -0.298 -1.821 -1.448
Te -3.501 -1.630 -1.031
S -1.786 1.115 -1.035
Cu 0.000 0.000 0.000
```

Summary:
- VASP energy (eV per atom) = -3.1791
- raw formation energy (eV/atom) = 0.289



Density functional theory data (PBE) for a relaxed LiCu3Ag crystal.

extended XYZ file:
```
5
Lattice="4.145 0.000 0.000 0.000 4.145 0.000 0.000 0.000 4.145" Properties=species:S:1:pos:R:3 pbc="T T T"
Ag 2.072 2.072 2.072
Cu 2.072 0.000 0.000
Li 0.000 0.000 0.000
Cu 0.000 0.000 2.072
Cu 0.000 2.072 0.000
```

Summary:
- formation enthalpy at 0 K (eV/atom) = 0.595
- VASP energy (eV per atom) = -2.8161